No. 1
A relaxed Na5TlIn4 crystal. Source: Alexandria, functional GGA-PBE.

Output
As for the symmetry: R3m.

Cell: 5.247 5.247 12.418 Å, 77.80 77.80 60.00°
Element x y z (fractional)
In1 0.320 0.320 0.040
In2 0.760 0.760 0.721
In3 0.235 0.235 0.295
In4 0.675 0.675 0.975
Na1 0.140 0.140 0.581
Na2 0.947 0.947 0.160
Na3 0.043 0.043 0.871
Na4 0.421 0.421 0.738
Na5 0.849 0.849 0.454
Tl1 0.549 0.549 0.353

***

No. 2
A relaxed HfGe2ICl crystal. Source: Alexandria, functional GGA-PBE.

Output
As for the symmetry: P4/mmm. The uncorrected formation energy comes out at 0.17 eV/atom.

Cell: 5.327 5.465 5.327 Å, 90.00 90.00 90.00°
Element x y z (fractional)
I1 0.000 0.500 0.000
Ge1 0.500 0.000 0.000
Ge2 0.000 0.000 0.500
Cl1 0.500 0.500 0.500
Hf1 0.000 0.000 0.000

***

No. 3
A relaxed Cs2KTlPd crystal. Source: Alexandria, functional GGA-PBE.

Output
As for the symmetry: P4/mmm.

Cell: 6.908 6.908 5.486 Å, 90.00 90.00 90.00°
Element x y z (fractional)
Cs1 0.000 0.500 0.000
Cs2 0.500 0.000 0.000
Pd1 0.000 0.000 0.000
K1 0.500 0.500 0.500
Tl1 0.000 0.000 0.500

***

No. 4
A relaxed AgSn2Pb2 crystal. Source: Alexandria, functional GGA-PBE.

Output
As for the symmetry: P4/mbm.

Cell: 8.114 8.114 4.503 Å, 90.00 90.00 90.00°
Element x y z (fractional)
Ag1 0.000 0.000 0.000
Ag2 0.500 0.500 0.000
Pb1 0.663 0.163 0.000
Pb2 0.837 0.663 0.000
Pb3 0.163 0.337 0.000
Pb4 0.337 0.837 0.000
Sn1 0.365 0.135 0.500
Sn2 0.635 0.865 0.500
Sn3 0.865 0.365 0.500
Sn4 0.135 0.635 0.500

***

No. 5
A relaxed Mg2InRu2 crystal. Source: Alexandria, functional GGA-PBE.

Output
As for the symmetry: P4/mbm.

Cell: 6.785 6.785 4.005 Å, 90.00 90.00 90.00°
Each line ends with the local moment (μB).
Element x y z (fractional)
Mg1 0.335 0.165 0.500  -0.01
Mg2 0.165 0.665 0.500  -0.01
Mg3 0.665 0.835 0.500  -0.01
Mg4 0.835 0.335 0.500  -0.01
Ru1 0.628 0.128 0.000  0.51
Ru2 0.128 0.372 0.000  0.57
Ru3 0.872 0.628 0.000  0.57
Ru4 0.372 0.872 0.000  0.51
In1 0.000 0.000 0.000  -0.02
In2 0.500 0.500 0.000  -0.02

***

No. 6
A relaxed RbRhCl6 crystal. Source: Alexandria, functional GGA-PBE.

Output
As for the symmetry: C2/m. The uncorrected formation energy comes out at -0.72 eV/atom.

Cell: 6.180 6.180 6.229 Å, 79.93 79.93 99.65°
Each line ends with the local moment (μB).
Element x y z (fractional)
Cl1 0.730 0.730 0.925  0.16
Cl2 0.270 0.270 0.075  0.16
Cl3 0.727 0.073 0.270  0.15
Cl4 0.273 0.927 0.730  0.15
Cl5 0.927 0.273 0.730  0.15
Cl6 0.073 0.727 0.270  0.15
Rb1 0.500 0.500 0.500  0.00
Rh1 0.000 0.000 0.000  0.82

***

Number 1: E_tot -20.67 eV per cell, magnetic moment 0.000 μB per formula unit. Number 2: E_tot -21.73 eV per cell, magnetic moment 0.000 μB per formula unit. Number 3: E_tot -10.34 eV per cell, magnetic moment 0.000 μB per formula unit. Number 4: E_tot -34.50 eV per cell, magnetic moment 0.000 μB per formula unit. Number 5: E_tot -48.74 eV per cell, magnetic moment 1.057 μB per formula unit. Number 6: E_tot -25.16 eV per cell, magnetic moment 2.081 μB per formula unit.